DFT (PBE+U) results for a relaxed structure of Cs2PmFe2O6.

Cell lengths 7.126, 7.126, 7.126 Å; angles 52.62, 52.62, 52.62 degrees
Element x y z (fractional)
Cs (0.221, 0.221, 0.221)
Cs (0.779, 0.779, 0.779)
Pm (0.000, 0.000, 0.000)
Fe (0.424, 0.424, 0.424)
Fe (0.576, 0.576, 0.576)
O (0.250, 0.250, 0.733)
O (0.250, 0.733, 0.250)
O (0.267, 0.750, 0.750)
O (0.733, 0.250, 0.250)
O (0.750, 0.267, 0.750)
O (0.750, 0.750, 0.267)

Results
Total magnetization = 0.636 μB/atom
E_tot = -0.4376 Ry/atom